{"formula": "NaTiO3", "functional": "PBE", "state": "relaxed", "magmom_total_mub_per_fu": 1.00, "density_g_cm3": 3.1, "raw_formation_energy_ev_per_fu": -10.9, "e_tot_ry_per_atom": -0.5136, "spacegroup": "No. 148", "lattice_angstrom": [[2.694, 1.555, 5.049], [-2.694, 1.555, 5.049], [0.000, -3.110, 5.049]], "species": ["Na", "Na", "Ti", "Ti", "O", "O", "O", "O", "O", "O"], "fractional_positions": [[0.133, 0.133, 0.133], [0.867, 0.867, 0.867], [0.343, 0.343, 0.343], [0.657, 0.657, 0.657], [0.065, 0.669, 0.479], [0.331, 0.521, 0.935], [0.479, 0.065, 0.669], [0.521, 0.935, 0.331], [0.669, 0.479, 0.065], [0.935, 0.331, 0.521]]}


{"formula": "Mo2Ru", "functional": "PBE", "state": "relaxed", "magmom_total_mub_per_fu": 0.00, "ef_ev_per_atom": 0.706, "density_g_cm3": 9.1, "e_tot_ry_per_atom": -0.7061, "spacegroup": "No. 225", "lattice_angstrom": [[0.000, 2.993, 2.993], [2.993, 0.000, 2.993], [2.993, 2.993, 0.000]], "species": ["Mo", "Mo", "Ru"], "fractional_positions": [[0.250, 0.250, 0.250], [0.750, 0.750, 0.750], [0.000, 0.000, 0.000]]}


{"formula": "AcY4Ho3", "functional": "PBE", "state": "relaxed", "magmom_total_mub_per_fu": 0.00, "ef_ev_per_atom": 0.165, "density_g_cm3": 6.7, "e_tot_ry_per_atom": -0.3893, "spacegroup": "No. 71", "lattice_angstrom": [[-1.742, 5.904, 6.518], [1.742, -5.904, 6.518], [1.742, 5.904, -6.518]], "species": ["Ac", "Y", "Y", "Y", "Y", "Ho", "Ho", "Ho"], "fractional_positions": [[0.000, 0.000, 0.000], [0.120, 0.865, 0.255], [0.390, 0.135, 0.255], [0.610, 0.865, 0.745], [0.880, 0.135, 0.745], [0.245, 0.745, 0.500], [0.500, 0.500, 0.000], [0.755, 0.255, 0.500]]}


{"formula": "TaAlTl", "functional": "PBE", "state": "relaxed", "magmom_total_mub_per_fu": 0.00, "ef_ev_per_atom": 0.493, "density_g_cm3": 11.8, "e_tot_ry_per_atom": -0.4038, "spacegroup": "No. 187", "lattice_angstrom": [[4.833, 0.000, 0.000], [-2.416, 4.185, 0.000], [0.000, 0.000, 2.858]], "species": ["Ta", "Al", "Tl"], "fractional_positions": [[0.000, 0.000, 0.000], [0.333, 0.667, 0.500], [0.667, 0.333, 0.500]]}


{"formula": "AlSbMo2W", "functional": "PBE", "state": "relaxed", "magmom_total_mub_per_fu": 0.00, "density_g_cm3": 7.5, "raw_formation_energy_ev_per_fu": 10.4, "e_tot_ry_per_atom": -0.4711, "spacegroup": "No. 123", "lattice_angstrom": [[4.865, 0.000, 0.000], [0.000, 4.865, 0.000], [0.000, 0.000, 4.884]], "species": ["Al", "Sb", "Mo", "Mo", "W"], "fractional_positions": [[0.000, 0.000, 0.000], [0.500, 0.500, 0.500], [0.000, 0.500, 0.500], [0.500, 0.000, 0.500], [0.500, 0.500, 0.000]]}


{"formula": "SrScIn2", "functional": "PBE", "state": "relaxed", "magmom_total_mub_per_fu": 0.00, "ef_ev_per_atom": 0.045, "density_g_cm3": 5.3, "e_tot_ry_per_atom": -0.2446, "spacegroup": "No. 216", "lattice_angstrom": [[0.000, 3.852, 3.852], [3.852, 0.000, 3.852], [3.852, 3.852, 0.000]], "species": ["Sr", "Sc", "In", "In"], "fractional_positions": [[0.000, 0.000, 0.000], [0.250, 0.250, 0.250], [0.500, 0.500, 0.500], [0.750, 0.750, 0.750]]}